*a*
First-principles (PBE-GGA) data for a geometry-optimized La4RhPb structure, as listed in the Alexandria database.

Cell: 6.3665 7.1874 10.1556 Å, 90.00 123.03 90.00°
Positions (direct):
La: 0.8937 0.4906 0.2794
La: 0.8937 0.0094 0.2794
La: 0.7032 0.2500 0.8689
La: 0.1063 0.9906 0.7206
La: 0.1063 0.5094 0.7206
La: 0.4597 0.7500 0.5667
La: 0.5403 0.2500 0.4333
La: 0.2968 0.7500 0.1311
Rh: 0.7675 0.7500 0.4384
Rh: 0.2325 0.2500 0.5616
Pb: 0.6651 0.7500 0.9436
Pb: 0.3349 0.2500 0.0564

- N(E_F): 14.4 states/eV per cell
- Space-group type: P2_1/m

*b*
First-principles (PBE-GGA) data for a geometry-optimized La4RhPb structure, as listed in the Alexandria database.

Cell: 6.2392 8.5868 8.6331 Å, 113.05 102.47 107.01°
Positions (direct):
La: 0.6479 0.0763 0.3794
La: 0.9498 0.8022 0.1433
La: 0.6935 0.3410 0.1433
La: 0.0502 0.1978 0.8567
La: 0.7685 0.6968 0.6206
La: 0.2315 0.3032 0.3794
La: 0.3065 0.6590 0.8567
La: 0.3521 0.9237 0.6206
Rh: 0.2479 0.9979 0.9958
Rh: 0.7521 0.0021 0.0042
Pb: 0.6329 0.3829 0.7658
Pb: 0.3671 0.6171 0.2342

- N(E_F): 12.5 states/eV per cell
- Space-group type: C2/c

Each structure's energy above the most stable one, in meV/atom: *a* 0; *b* 12.